Record 1
The following is a DFT calculation (GGA-PBE) of a relaxed structure of KSn6Pd.

The structure in CIF format:
```
data_KSn6Pd
_chemical_formula_sum 'K1 Sn6 Pd1'
_space_group_name_H-M_alt 'P 1'
_space_group_IT_number 1
_cell_length_a 4.799
_cell_length_b 4.799
_cell_length_c 10.172
_cell_angle_alpha 90.00
_cell_angle_beta 90.00
_cell_angle_gamma 90.00
loop_
_space_group_symop_operation_xyz
'x,y,z'
loop_
_atom_site_label
_atom_site_type_symbol
_atom_site_fract_x
_atom_site_fract_y
_atom_site_fract_z
K1 K 0.000 0.000 0.000
Sn1 Sn 0.500 0.000 0.657
Sn2 Sn 0.000 0.500 0.657
Sn3 Sn 0.500 0.500 0.155
Sn4 Sn 0.500 0.500 0.845
Sn5 Sn 0.000 0.500 0.343
Sn6 Sn 0.500 0.000 0.343
Pd1 Pd 0.000 0.000 0.500
```

***

Record 2
The following is a DFT calculation (GGA-PBE) of a relaxed structure of KSn6Pd12.

The structure in CIF format:
```
data_KSn6Pd12
_chemical_formula_sum 'K1 Sn6 Pd12'
_space_group_name_H-M_alt 'P 1'
_space_group_IT_number 1
_cell_length_a 7.605
_cell_length_b 7.605
_cell_length_c 7.605
_cell_angle_alpha 105.39
_cell_angle_beta 105.39
_cell_angle_gamma 105.39
loop_
_space_group_symop_operation_xyz
'x,y,z'
loop_
_atom_site_label
_atom_site_type_symbol
_atom_site_fract_x
_atom_site_fract_y
_atom_site_fract_z
K1 K 0.000 0.000 0.000
Sn1 Sn 0.699 0.268 0.268
Sn2 Sn 0.268 0.268 0.699
Sn3 Sn 0.268 0.699 0.268
Sn4 Sn 0.732 0.732 0.301
Sn5 Sn 0.301 0.732 0.732
Sn6 Sn 0.732 0.301 0.732
Pd1 Pd 0.882 0.118 0.500
Pd2 Pd 0.856 0.593 0.593
Pd3 Pd 0.593 0.593 0.856
Pd4 Pd 0.407 0.144 0.407
Pd5 Pd 0.407 0.407 0.144
Pd6 Pd 0.144 0.407 0.407
Pd7 Pd 0.118 0.500 0.882
Pd8 Pd 0.500 0.882 0.118
Pd9 Pd 0.118 0.882 0.500
Pd10 Pd 0.882 0.500 0.118
Pd11 Pd 0.500 0.118 0.882
Pd12 Pd 0.593 0.856 0.593
```

***

Record 3
The following is a DFT calculation (GGA-PBE) of a relaxed structure of KSn2Pd4.

The structure in CIF format:
```
data_KSn2Pd4
_chemical_formula_sum 'K2 Sn4 Pd8'
_space_group_name_H-M_alt 'P 1'
_space_group_IT_number 1
_cell_length_a 4.198
_cell_length_b 8.284
_cell_length_c 8.284
_cell_angle_alpha 90.00
_cell_angle_beta 90.00
_cell_angle_gamma 90.00
loop_
_space_group_symop_operation_xyz
'x,y,z'
loop_
_atom_site_label
_atom_site_type_symbol
_atom_site_fract_x
_atom_site_fract_y
_atom_site_fract_z
K1 K 0.500 0.000 0.000
K2 K 0.000 0.500 0.500
Sn1 Sn 0.000 0.226 0.774
Sn2 Sn 0.000 0.774 0.226
Sn3 Sn 0.500 0.726 0.726
Sn4 Sn 0.500 0.274 0.274
Pd1 Pd 0.000 0.084 0.348
Pd2 Pd 0.000 0.916 0.652
Pd3 Pd 0.500 0.152 0.584
Pd4 Pd 0.500 0.848 0.416
Pd5 Pd 0.500 0.416 0.848
Pd6 Pd 0.500 0.584 0.152
Pd7 Pd 0.000 0.348 0.084
Pd8 Pd 0.000 0.652 0.916
```

Polymorph energy (0 for the lowest one) = 0.0554 eV/atom

***

Formation enthalpy at 0 K list, top to bottom, in eV/f.u.: -1.66 -7.35 -2.74
Calculated volume list, top to bottom, in Å³/f.u.: 234.3 381.3 144.0